1.
KAc3F8: relaxed, PBE.

Values from the calculation:
Total energy: -5.98 eV/atom
Fermi-level density of states: 3.56 states/eV per cell
Formation energy without anion corrections: -3.618 eV per atom

Cell lengths 6.162, 6.162, 6.162 Å; angles 90.00, 90.00, 90.00 degrees
Site moments in Bohr magnetons follow the coordinates.
Atoms (fractional coordinates):
F (0.275, 0.275, 0.725)  0.02
F (0.275, 0.725, 0.725)  0.02
F (0.725, 0.725, 0.275)  0.02
F (0.725, 0.275, 0.725)  0.02
K (0.000, 0.000, 0.000)  0.02
Ac (0.000, 0.500, 0.500)  0.11
F (0.275, 0.725, 0.275)  0.02
Ac (0.500, 0.000, 0.500)  0.11
Ac (0.500, 0.500, 0.000)  0.11
F (0.275, 0.275, 0.275)  0.02
F (0.725, 0.725, 0.725)  0.02
F (0.725, 0.275, 0.275)  0.02

2.
K3AcF7: relaxed, PBE.

Values from the calculation:
Total energy: -4.88 eV/atom
Fermi-level density of states: 5.57 states/eV per cell
Formation energy without anion corrections: -3.017 eV per atom

Cell lengths 6.550, 6.550, 7.083 Å; angles 61.66, 61.66, 88.18 degrees
Site moments in Bohr magnetons follow the coordinates.
Atoms (fractional coordinates):
Ac (0.950, 0.950, 0.041)  0.00
F (0.633, 0.146, 0.215)  0.23
F (0.930, 0.345, 0.736)  0.21
F (0.838, 0.838, 0.817)  0.04
K (0.510, 0.510, 0.923)  0.00
F (0.627, 0.627, 0.436)  0.03
F (0.345, 0.930, 0.736)  0.21
F (0.146, 0.633, 0.215)  0.23
F (0.140, 0.140, 0.156)  0.04
K (0.777, 0.229, 0.487)  0.00
K (0.229, 0.777, 0.487)  0.00

3.
KAcF2: relaxed, PBE.

Values from the calculation:
Total energy: -4.27 eV/atom
Fermi-level density of states: 2.23 states/eV per cell
Formation energy without anion corrections: -2.035 eV per atom

Cell lengths 3.392, 3.392, 7.624 Å; angles 90.00, 90.00, 90.00 degrees
Site moments in Bohr magnetons follow the coordinates.
Atoms (fractional coordinates):
F (0.000, 0.000, 0.788)  0.00
Ac (0.500, 0.500, 0.500)  0.08
K (0.500, 0.500, 0.000)  0.00
F (0.000, 0.000, 0.212)  0.00

4.
K2AcMgF8: relaxed, PBE.

Values from the calculation:
Total energy: -5.08 eV/atom
Formation energy without anion corrections: -3.179 eV per atom

Cell lengths 4.396, 6.088, 7.421 Å; angles 86.24, 90.34, 92.07 degrees
Site moments in Bohr magnetons follow the coordinates.
Atoms (fractional coordinates):
Mg (0.000, 0.000, 0.000)  0.00
Ac (0.000, 0.000, 0.500)  0.00
F (0.981, 0.212, 0.781)  0.00
K (0.502, 0.479, 0.773)  0.00
F (0.961, 0.230, 0.205)  0.09
K (0.498, 0.521, 0.227)  0.00
F (0.019, 0.788, 0.219)  0.00
F (0.588, 0.863, 0.955)  0.40
F (0.497, 0.222, 0.499)  0.01
F (0.412, 0.137, 0.045)  0.40
F (0.503, 0.778, 0.501)  0.01
F (0.039, 0.770, 0.795)  0.09

5.
KAcMg2F8: relaxed, PBE.

Values from the calculation:
Total energy: -5.55 eV/atom
Fermi-level density of states: 0.00 states/eV per cell
Formation energy without anion corrections: -3.601 eV per atom

Cell lengths 5.623, 5.623, 7.229 Å; angles 112.89, 112.89, 90.00 degrees
Atoms (fractional coordinates):
F (0.178, 0.594, 0.850)
F (0.672, 0.256, 0.850)
Mg (0.500, 0.500, 0.000)
F (0.744, 0.822, 0.150)
F (0.583, 0.698, 0.679)
Ac (0.000, 0.000, 0.000)
F (0.406, 0.328, 0.150)
F (0.095, 0.981, 0.679)
F (0.019, 0.417, 0.321)
K (0.750, 0.250, 0.500)
Mg (0.250, 0.750, 0.500)
F (0.302, 0.905, 0.321)

6.
K2AcMgF6: relaxed, PBE.

Values from the calculation:
Total energy: -5.08 eV/atom
Fermi-level density of states: 2.33 states/eV per cell
Formation energy without anion corrections: -3.171 eV per atom

Cell lengths 5.835, 6.975, 9.100 Å; angles 90.00, 90.06, 90.00 degrees
Atoms (fractional coordinates):
F (0.998, 0.500, 0.770)
F (0.002, 0.500, 0.230)
Mg (0.000, 0.500, 0.000)
F (0.742, 0.301, 0.001)
Ac (0.000, 0.500, 0.500)
F (0.242, 0.801, 0.501)
Ac (0.500, 0.000, 0.000)
F (0.502, 0.000, 0.730)
K (0.000, 0.000, 0.291)
F (0.758, 0.801, 0.499)
F (0.258, 0.301, 0.999)
K (0.000, 0.000, 0.709)
F (0.498, 0.000, 0.270)
F (0.258, 0.699, 0.999)
K (0.500, 0.500, 0.791)
F (0.242, 0.199, 0.501)
Mg (0.500, 0.000, 0.500)
K (0.500, 0.500, 0.209)
F (0.758, 0.199, 0.499)
F (0.742, 0.699, 0.001)